AcPmBi6 | PBE | optimized geometry

Results
Final energy: -35.2 eV per formula unit
ΔH_f (0 K): -0.38 eV per atom
Magnetic moment: 0.00 μB per formula unit

Cell lengths 4.932, 11.828, 11.828 Å; angles 22.99, 90.00, 90.00 degrees
Fractional positions:
Ac 0.000 0.000 0.000
Pm 0.500 0.349 0.349
Bi 0.000 0.246 0.246
Bi 0.000 0.627 0.627
Bi 0.000 0.854 0.854
Bi 0.500 0.111 0.111
Bi 0.500 0.488 0.488
Bi 0.500 0.727 0.727